The following is a PBE calculation of a relaxed LaHfMn2Ag crystal, from the Alexandria database.

Structure (CIF):
```
data_LaHfMn2Ag
_cell_length_a 4.840
_cell_length_b 4.840
_cell_length_c 4.973
_cell_angle_alpha 90.00
_cell_angle_beta 90.00
_cell_angle_gamma 90.00
_symmetry_space_group_name_H-M 'P 4/m m m'
_symmetry_Int_Tables_number 123
_symmetry_space_group_name_Hall '-P 4 2'
loop_
_atom_site_label
_atom_site_fract_x
_atom_site_fract_y
_atom_site_fract_z
La1 0.000 0.000 0.000
Hf1 0.500 0.500 0.000
Mn1 0.000 0.500 0.500
Ag1 0.500 0.500 0.500
```

## Properties
Volume: 116 Å³/cell
VASP energy: -28.74 eV/cell
Size of the total moment: 0.01 μB/atom
Fermi-level density of states: 12.487 states/eV per cell
DFT formation energy: 33.80 kcal/mol of atoms